# ZrCdAsO

Crystalline ZrCdAsO at its relaxed geometry (PBE-GGA, OQMD via LeMat-Bulk).

## Properties
Theoretical density, g cm⁻³: 7.0
Excess energy over the best structure of this formula in the dataset, eV per atom: 0.015
Total magnetization, μB/atom: 0.002

The structure in POSCAR format:
```
ZrCdAsO
1.0
-1.755 0.389 -3.357
-1.332 -3.556 0.284
-7.826 3.290 4.473
As O Cd Zr
2 2 2 2
direct
0.500 0.000 0.740
0.000 0.500 0.260
0.000 0.000 0.000
0.500 0.500 0.000
0.500 0.500 0.500
0.000 0.000 0.500
0.500 0.000 0.121
0.000 0.500 0.879
```